Record 1
PBE TaBeAu2, relaxed; energy = -21.275 eV per cell; spin magnetization = 0.00 μB/cell
1.0
0.000 3.168 3.168
3.168 0.000 3.168
3.168 3.168 0.000
Ta Be Au
1 1 2
direct
0.000 0.000 0.000
0.750 0.750 0.750
0.250 0.250 0.250
0.500 0.500 0.500

---

Record 2
PBE TaBeAu, relaxed; energy above the lowest structure with this stoichiometry = 0.512 eV per atom; spin magnetization = 0.00 μB/cell
1.0
0.000 2.974 2.974
2.974 0.000 2.974
2.974 2.974 0.000
Ta Be Au
1 1 1
direct
0.000 0.000 0.000
0.500 0.500 0.500
0.750 0.750 0.750

---

Record 3
PBE TaBeAu, relaxed; energy above the lowest structure with this stoichiometry = 0.960 eV per atom; spin magnetization = 0.00 μB/cell
1.0
0.000 3.017 3.017
3.017 0.000 3.017
3.017 3.017 0.000
Ta Be Au
1 1 1
direct
0.000 0.000 0.000
0.250 0.250 0.250
0.750 0.750 0.750

---

Record 4
PBE Ta2Be2Au, relaxed; energy = -71.384 eV per cell; spin magnetization = 0.00 μB/cell
1.0
6.066 0.000 0.000
0.000 6.066 0.000
0.000 0.000 3.739
Ta Be Au
4 4 2
direct
0.165 0.335 0.000
0.335 0.835 0.000
0.665 0.165 0.000
0.835 0.665 0.000
0.125 0.625 0.500
0.375 0.125 0.500
0.625 0.875 0.500
0.875 0.375 0.500
0.000 0.000 0.500
0.500 0.500 0.500

---

Record 5
PBE TbBeAu4, relaxed; energy = -23.211 eV per cell; spin magnetization = 0.00 μB/cell
1.0
3.476 0.000 0.000
0.000 3.476 0.000
0.000 0.000 9.228
Tb Be Au
1 1 4
direct
0.000 0.000 0.000
0.500 0.500 0.500
0.000 0.000 0.356
0.000 0.000 0.644
0.500 0.500 0.191
0.500 0.500 0.809

---

Record 6
PBE BeTc2Au, relaxed; energy = -26.425 eV per cell; spin magnetization = 0.03 μB/cell
1.0
0.000 3.058 3.058
3.058 0.000 3.058
3.058 3.058 0.000
Be Tc Au
1 2 1
direct
0.000 0.000 0.000
0.500 0.500 0.500
0.750 0.750 0.750
0.250 0.250 0.250

---

Record 7
PBE Be2TeAu, relaxed; energy = -10.636 eV per cell
1.0
0.000 3.276 3.276
3.276 0.000 3.276
3.276 3.276 0.000
Be Te Au
2 1 1
direct
0.000 0.000 0.000
0.250 0.250 0.250
0.500 0.500 0.500
0.750 0.750 0.750

---

Record 8
PBE ThBeAu, relaxed; energy = -14.743 eV per cell; spin magnetization = 0.00 μB/cell
1.0
0.000 3.193 3.193
3.193 0.000 3.193
3.193 3.193 0.000
Th Be Au
1 1 1
direct
0.000 0.000 0.000
0.750 0.750 0.750
0.500 0.500 0.500